A:
DFT (meta-GGA SCAN) results for FeAg2Os at its PBEsol-relaxed geometry.

a b c (Å): 2.831 4.528 9.214
angles (deg): 90.00 90.00 90.00
Space group Cmm2 (No. 35)
Unique sites:
Fe  0.000  0.000  0.000 x2
Ag  0.000  0.000  0.486 x2
Ag  0.000  0.500  0.752 x2
Os  0.000  0.500  0.218 x2

=====

B:
DFT (meta-GGA SCAN) results for FeAg2Os at its PBEsol-relaxed geometry.

a b c (Å): 2.722 2.722 7.771
angles (deg): 90.00 90.00 90.00
Space group P4mm (No. 99)
Unique sites:
Fe  0.000  0.000  0.000 x1
Ag  0.000  0.000  0.468 x1
Ag  0.500  0.500  0.745 x1
Os  0.500  0.500  0.189 x1

=====

Stability ranking, top entry: A; the second entry is 13 meV per atom less favorable.